--- i ---
Be3RuSe PBE relaxed; density of states at the Fermi level = 1.7 states/eV/f.u.; space-group type = No. 221
1.0
-1.148 3.601 -1.691
-3.848 -0.559 1.422
1.008 1.965 3.501
Ru Se Be
1 1 3
Direct
0.500 0.500 0.500
0.000 0.000 0.000
0.000 0.500 0.000
0.000 0.000 0.500
0.500 0.000 0.000

=====

--- ii ---
Be3RuSe PBE relaxed; density of states at the Fermi level = 0.0 states/eV/f.u.; space-group type = No. 221
1.0
4.207 0.000 0.000
0.000 4.207 0.000
0.000 0.000 4.207
Ru Se Be
1 1 3
Direct
0.000 0.000 0.000
0.500 0.500 0.500
0.000 0.500 0.000
0.000 0.000 0.500
0.500 0.000 0.000

=====

Verdict on stability: i comes out at the bottom.

=====

--- i ---
BeSi3Ru PBE relaxed; density of states at the Fermi level = 2.9 states/eV/f.u.; space-group type = No. 221
1.0
-1.936 -3.345 -1.506
0.805 -2.049 3.515
-3.579 1.349 1.606
Ru Si Be
1 3 1
Direct
0.500 0.500 0.500
0.000 0.500 0.000
0.000 0.000 0.500
0.500 0.000 0.000
0.000 0.000 0.000

=====

--- ii ---
BeSi3Ru PBE relaxed; density of states at the Fermi level = 3.9 states/eV/f.u.; space-group type = No. 221
1.0
-1.403 3.846 2.085
-3.871 -2.111 1.291
2.039 -1.363 3.885
Ru Si Be
1 3 1
Direct
0.000 0.000 0.000
0.000 0.500 0.000
0.000 0.000 0.500
0.500 0.000 0.000
0.500 0.500 0.500

=====

Verdict on stability: i comes out at the bottom.

=====

--- i ---
YBe2SiRu PBE relaxed; density of states at the Fermi level = 3.8 states/eV/f.u.; space-group type = No. 44
1.0
3.783 0.000 0.000
0.000 3.826 0.000
-1.891 -1.913 5.098
Y Be Si Ru
1 2 1 1
Direct
0.446 0.446 0.891
0.693 0.193 0.385
0.063 0.063 0.125
0.826 0.826 0.651
0.186 0.686 0.372

=====

--- ii ---
YBe2SiRu PBE relaxed; density of states at the Fermi level = 2.3 states/eV/f.u.; space-group type = No. 123
1.0
-1.661 -0.176 3.944
-4.106 -0.299 -1.743
0.332 -4.270 -0.051
Y Ru Si Be
1 1 1 2
Direct
0.500 0.500 0.500
0.000 0.000 0.000
0.000 0.500 0.000
0.000 0.000 0.500
0.500 0.000 0.000

=====

Verdict on stability: ii comes out at the bottom.

=====

--- i ---
SrBeRu3 PBE relaxed; density of states at the Fermi level = 6.9 states/eV/f.u.; space-group type = No. 221
1.0
4.368 0.000 0.000
0.000 4.368 0.000
0.000 0.000 4.368
Ru Be Sr
3 1 1
Direct
0.000 0.500 0.000
0.000 0.000 0.500
0.500 0.000 0.000
0.000 0.000 0.000
0.500 0.500 0.500

=====

--- ii ---
SrBeRu3 PBE relaxed; density of states at the Fermi level = 7.4 states/eV/f.u.; space-group type = No. 221
1.0
4.890 0.000 0.000
0.000 4.890 0.000
0.000 0.000 4.890
Ru Be Sr
3 1 1
Direct
0.000 0.500 0.000
0.000 0.000 0.500
0.500 0.000 0.000
0.500 0.500 0.500
0.000 0.000 0.000

=====

Verdict on stability: ii comes out at the bottom.

=====

--- i ---
SrBe3Ru PBE relaxed; density of states at the Fermi level = 1.3 states/eV/f.u.; space-group type = No. 221
1.0
-1.985 2.726 2.815
-0.426 -3.288 2.882
3.895 1.029 1.750
Ru Be Sr
1 3 1
Direct
0.000 0.000 0.000
0.000 0.500 0.000
0.000 0.000 0.500
0.500 0.000 0.000
0.500 0.500 0.500

=====

--- ii ---
SrBe3Ru PBE relaxed; density of states at the Fermi level = 11.0 states/eV/f.u.; space-group type = No. 221
1.0
-4.105 0.523 -1.947
-1.436 -3.858 1.990
-1.415 2.398 3.628
Ru Be Sr
1 3 1
Direct
0.500 0.500 0.500
0.000 0.500 0.000
0.000 0.000 0.500
0.500 0.000 0.000
0.000 0.000 0.000

=====

Verdict on stability: ii comes out at the bottom.

=====

--- i ---
TaBe2Ru PBE relaxed; density of states at the Fermi level = 2.0 states/eV/f.u.; space-group type = No. 47
1.0
-1.842 2.467 0.792
-3.310 -2.415 -0.175
-2.867 -3.304 3.628
Ru Be Ta
1 2 1
Direct
0.500 0.500 0.500
0.000 0.000 0.000
0.500 0.500 0.000
0.000 0.000 0.500

=====

--- ii ---
TaBe2Ru PBE relaxed; density of states at the Fermi level = 3.2 states/eV/f.u.; space-group type = No. 216
1.0
4.171 0.000 0.000
2.086 3.612 0.000
2.086 1.204 3.406
Ru Be Ta
1 2 1
Direct
0.500 0.500 0.500
0.000 0.000 0.000
0.250 0.250 0.250
0.750 0.750 0.750

=====

--- iii ---
TaBe2Ru PBE relaxed; density of states at the Fermi level = 3.9 states/eV/f.u.; space-group type = No. 166
1.0
-4.343 2.085 -6.674
-4.340 -0.643 -6.965
-6.215 0.564 -5.367
Ru Be Ta
1 2 1
Direct
0.250 0.250 0.250
0.991 0.991 0.991
0.509 0.509 0.509
0.750 0.750 0.750

=====

Verdict on stability: iii comes out at the bottom.